Record 1
An optimized crystal structure of NdNbSi2Tc, computed with PBE.

Space-group type: I-4m2
ΔE_f (raw), eV per atom: -0.6241
Total magnetization, μB/cell: 0.00

Cell lengths 4.071, 4.071, 6.318 Å; angles 108.79, 108.79, 90.00 degrees
Element x y z (fractional)
Nd1 0.000 0.000 0.000
Nb1 0.250 0.750 0.500
Si1 0.610 0.610 0.220
Si2 0.390 0.390 0.780
Tc1 0.750 0.250 0.500

---

Record 2
An optimized crystal structure of NdSm2Nb, computed with PBE.

Space-group type: R-3m
Formation energy, eV/f.u.: 2.35
Total magnetization, μB/cell: 0.02

Cell lengths 3.353, 3.353, 12.089 Å; angles 82.03, 82.03, 60.00 degrees
Element x y z (fractional)
Nb1 0.000 0.000 0.000
Nd1 0.500 0.500 0.500
Sm1 0.081 0.081 0.757
Sm2 0.919 0.919 0.243

---

Record 3
An optimized crystal structure of Nd2NbSn, computed with PBE.

Space-group type: R-3m
Formation energy, eV/f.u.: 1.51
Total magnetization, μB/cell: 0.82

Cell lengths 3.305, 3.305, 11.685 Å; angles 81.87, 81.87, 60.00 degrees
Element x y z (fractional)
Nb1 0.000 0.000 0.000
Nd1 0.087 0.087 0.740
Nd2 0.913 0.913 0.260
Sn1 0.500 0.500 0.500